No. 1
La5Nd3Dy3, relaxed, DFT PBE-GGA; N(E_F) = 1.58 states/eV/atom; final energy = -49.6 eV per cell; formation enthalpy at 0 K = 0.284 eV per atom; total magnetization = 0.0 Bohr magnetons per cell
1.0
3.4913 0.0001 0.0002
0.0000 9.9815 -5.7628
0.0001 0.0000 11.5256
La Nd Dy
5 3 3
Cartesian
1.7457 6.6544 0.0001
1.7457 3.3272 5.7629
1.7456 3.3625 -1.9412
1.7456 6.6191 3.8216
1.7458 0.0001 3.8827
0.0000 5.9764 -3.4505
0.0001 0.0000 6.9010
3.4913 4.0052 2.3125
1.7456 8.3963 -4.8475
1.7457 1.5853 0.9153
1.7457 0.0001 9.6952

***

No. 2
Rb3PuS4, relaxed, DFT PBE-GGA; N(E_F) = 1.64 states/eV/atom; energy above the most stable polymorph in this dataset = 227 meV per atom; final energy = -41.4 eV per cell; total magnetization = 3.0 Bohr magnetons per cell; E_form (uncorrected) = -957 meV/atom
1.0
-6.8882 0.4804 4.6719
-3.6629 -5.7401 -4.8103
2.9394 -6.0270 4.9537
Rb Pu S
3 1 4
Cartesian
1.4697 -3.0135 2.4768
-1.8315 -2.8700 -2.4052
-3.4441 0.2402 2.3359
0.0000 0.0000 0.0000
-1.3189 -1.9556 0.8343
-1.7916 -9.6450 0.9280
-3.8992 -5.5801 7.1243
-8.2136 -5.3926 0.7439

***

No. 3
Al3OF, relaxed, DFT PBE-GGA; N(E_F) = 0.11 states/eV/atom; final energy = -17.4 eV per cell; total magnetization = 0.0 Bohr magnetons per cell; E_form (uncorrected) = 127 meV/atom
1.0
4.5124 0.0000 0.0000
0.0000 4.5124 0.0000
0.0000 0.0000 4.5124
Al O F
3 1 1
Cartesian
0.0000 2.2562 0.0000
0.0000 0.0000 2.2562
2.2562 0.0000 0.0000
2.2562 2.2562 2.2562
0.0000 0.0000 0.0000

***

No. 4
HoZrSc2, relaxed, DFT PBE-GGA; N(E_F) = 1.72 states/eV/atom; energy above the most stable polymorph in this dataset = 61 meV per atom; final energy = -25.4 eV per cell; formation enthalpy at 0 K = 0.096 eV per atom; total magnetization = 0.0 Bohr magnetons per cell
1.0
-1.3386 -3.5408 -0.0764
2.7848 -1.1028 2.3159
-4.1190 1.4355 5.6366
Sc Ho Zr
2 1 1
Cartesian
-3.2065 1.1175 4.3880
-0.9124 0.3180 1.2486
-1.3363 -1.6040 3.9380
0.7231 -2.3218 1.1197

***

No. 5
Cs2CdI2, relaxed, DFT PBE-GGA; N(E_F) = 0.00 states/eV/atom; energy above the most stable polymorph in this dataset = 0 meV per atom; final energy = -22.1 eV per cell; total magnetization = 0.0 Bohr magnetons per cell; E_form (uncorrected) = -1063 meV/atom
1.0
-9.0858 -2.7400 4.7654
2.4193 -10.2596 -1.2866
2.2460 -0.0069 4.2784
Cs I Cd
4 4 2
Cartesian
-1.1639 -9.7582 0.5953
-6.2199 -8.9524 3.2509
-5.5026 -3.2415 2.8835
-0.4466 -4.0473 0.2280
1.3025 -7.1421 2.0335
-2.7785 -10.4711 4.1705
-5.7229 -5.8644 5.7237
-1.6420 -2.5355 3.5867
0.0000 0.0000 0.0000
-3.3333 -6.4998 1.7394

***

No. 6
Sm2H7Ru2, relaxed, DFT PBE-GGA; N(E_F) = 0.39 states/eV/atom; final energy = -54.5 eV per cell; total magnetization = 0.0 Bohr magnetons per cell
1.0
4.6431 0.2326 0.3357
-0.3013 4.6488 1.1016
-0.3013 -0.6010 4.7396
Sm H Ru
2 7 2
Cartesian
2.0203 0.7616 4.0438
2.0203 3.5188 2.1331
0.7677 -0.2522 2.4408
3.2728 1.9065 5.5559
3.2728 4.5326 3.7361
0.7677 2.3739 0.6210
0.0000 0.0000 0.0000
3.4901 2.2155 3.1971
0.5504 2.0649 2.9798
4.4836 1.2960 1.8702
-0.4431 2.9844 4.3067